Record 1
An optimized crystal structure of ScTaF2. Source: Alexandria via LeMat-Bulk, functional GGA-PBE.

Cell and atoms, written as extended XYZ:
```
4
Lattice="1.449 0.837 7.629 -1.449 0.837 7.629 0.000 -1.673 7.629" Properties=species:S:1:pos:R:3 pbc="T T T"
Sc 0.000 0.000 0.000
Ta 0.000 0.000 11.443
F 0.000 0.000 9.182
F 0.000 0.000 13.704
```

Relative energy among the computed polymorphs (meV per atom): 0
Formation energy without anion corrections (kJ per mole of atoms): -167
Calculated density (g/cm³): 7.9
Size of the total moment (μB per atom): 0.000



Record 2
An optimized crystal structure of Sm2CdAu. Source: Alexandria via LeMat-Bulk, functional GGA-PBE.

Cell and atoms, written as extended XYZ:
```
4
Lattice="1.990 1.149 8.612 -1.990 1.149 8.612 0.000 -2.298 8.612" Properties=species:S:1:pos:R:3 pbc="T T T"
Sm 0.000 0.000 6.228
Sm 0.000 0.000 19.609
Cd 0.000 0.000 0.000
Au 0.000 0.000 12.919
```

ΔE_f (eV per atom): -0.3741
Relative energy among the computed polymorphs (meV per atom): 182
Calculated density (g/cm³): 8.6
Size of the total moment (μB per atom): 0.000